A relaxed structure of Hg3GeN, computed with PBE.

For the total energy, the calculation gives -8.17 eV for the cell shown. The value obtained for the uncorrected formation energy is 1.136 eV per atom. For the density of states at the Fermi level, the calculation gives 0.65 states/eV per atom. For the polymorph energy (0 for the lowest one), the calculation gives 0.162 eV per atom.

The structure belongs to space group Pm-3m (No. 221); the cell edges are 5.4348, 5.4348 and 5.4348 Å and the angles 90.00°, 90.00° and 90.00°. The asymmetric unit holds Hg at (0.0000, 0.0000, 0.5000), Ge at (0.0000, 0.0000, 0.0000) and N at (0.5000, 0.5000, 0.5000).